No. 1
The following is a DFT calculation (PBE-GGA) of PrCuS after structural relaxation.

## Properties
* electronic total energy: -30.87 eV/cell
* total magnetization: 0.00 μB/cell
* symmetry: No. 12
* E_form (uncorrected): -810 meV/atom
* DOS at the Fermi energy: 0.29 states/eV per atom

abc: 4.2751 4.2593 11.2396
angles: 87.70 79.04 59.88
Fractional coordinates of all 6 atoms:
S1 0.7985 0.5679 0.8351
Cu1 0.3532 0.8280 0.4657
Cu2 0.6468 0.1720 0.5343
Pr1 0.1973 0.8785 0.7269
S2 0.2015 0.4321 0.1649
Pr2 0.8027 0.1215 0.2731

***

No. 2
The following is a DFT calculation (PBE-GGA) of PrCuS2 after structural relaxation.

## Properties
* electronic total energy: -22.21 eV/cell
* total magnetization: 0.00 μB/cell
* symmetry: No. 166
* E_form (uncorrected): -1270 meV/atom
* DOS at the Fermi energy: 0.00 states/eV per atom

abc: 4.3464 4.3464 7.5061
angles: 73.17 73.17 60.00
Fractional coordinates of all 4 atoms:
Cu1 0.0000 0.0000 0.0000
S1 0.1002 0.1002 0.6993
S2 0.8998 0.8998 0.3007
Pr1 0.5000 0.5000 0.5000

***

No. 3
The following is a DFT calculation (PBE-GGA) of Pr4CuS3 after structural relaxation.

## Properties
* electronic total energy: -47.90 eV/cell
* total magnetization: 0.00 μB/cell
* symmetry: No. 139
* E_form (uncorrected): -1538 meV/atom
* DOS at the Fermi energy: 0.79 states/eV per atom

abc: 5.8515 5.8515 7.1537
angles: 114.14 114.14 90.00
Fractional coordinates of all 8 atoms:
S1 0.7500 0.2500 0.5000
Pr1 0.5000 0.0000 0.0000
Pr2 0.0000 0.5000 0.0000
Pr3 0.7443 0.7443 0.4886
S2 0.5000 0.5000 0.0000
Cu1 0.0000 0.0000 0.0000
S3 0.2500 0.7500 0.5000
Pr4 0.2557 0.2557 0.5114

***

No. 4
The following is a DFT calculation (PBE-GGA) of Pr2Cu4S5 after structural relaxation.

## Properties
* electronic total energy: -56.33 eV/cell
* total magnetization: 0.00 μB/cell
* symmetry: No. 166
* E_form (uncorrected): -886 meV/atom
* DOS at the Fermi energy: 0.44 states/eV per atom

abc: 3.8982 3.8982 16.4362
angles: 83.19 83.19 60.00
Fractional coordinates of all 11 atoms:
S1 0.7602 0.7602 0.7193
Cu1 0.6877 0.6877 0.9368
S2 0.3646 0.3646 0.9061
S3 0.6354 0.6354 0.0939
Pr1 0.8698 0.8698 0.3906
Pr2 0.1302 0.1302 0.6094
Cu2 0.3123 0.3123 0.0632
S4 0.5000 0.5000 0.5000
Cu3 0.4117 0.4117 0.7648
Cu4 0.5883 0.5883 0.2352
S5 0.2398 0.2398 0.2807